Entry from the Alexandria database: Tb5NdEr6 after structural relaxation (PBE-GGA).

Summary:
uncorrected energy	-4.50	eV/atom
symmetry	Immm, No. 71
distance to the lowest polymorph of the same formula	91	meV/atom

Cell: 10.096 10.096 5.759 Å, 106.57 106.57 124.60°
Sites, in units of the cell vectors:
Er (0.568, 0.932, 0.750)
Er (0.068, 0.432, 0.250)
Tb (0.500, 0.500, 0.500)
Er (0.432, 0.068, 0.250)
Tb (0.846, 0.154, 0.500)
Er (0.932, 0.568, 0.750)
Nd (0.000, 0.000, 0.000)
Er (0.749, 0.749, 0.249)
Tb (0.154, 0.846, 0.500)
Tb (0.653, 0.347, 0.000)
Tb (0.347, 0.653, 0.000)
Er (0.251, 0.251, 0.751)

=====

Entry from the Alexandria database: Ag2Sb3 after structural relaxation (PBE-GGA).

Summary:
uncorrected energy	-3.48	eV/atom
symmetry	R-3m, No. 166
E_form (uncorrected)	13.2	kJ per mole of atoms

Cell: 9.579 9.579 9.579 Å, 23.92 23.92 23.92°
Sites, in units of the cell vectors:
Ag (0.398, 0.398, 0.398)
Sb (0.799, 0.799, 0.799)
Sb (0.201, 0.201, 0.201)
Ag (0.602, 0.602, 0.602)
Sb (0.000, 0.000, 0.000)